[1]
{"formula": "ZrCoSb2I", "functional": "GGA-PBE", "state": "optimized geometry", "polymorph_energy_mev_per_atom": 353.4, "cell": [[5.590, 0.000, 0.000], [0.000, 5.590, 0.000], [0.000, 0.000, 5.651]], "species": ["I", "Sb", "Sb", "Co", "Zr"], "frac_coords": [[0.000, 0.000, 0.500], [0.000, 0.500, 0.000], [0.500, 0.000, 0.000], [0.500, 0.500, 0.500], [0.000, 0.000, 0.000]]}

---

[2]
{"formula": "ZrCoSb2I", "functional": "GGA-PBE", "state": "optimized geometry", "polymorph_energy_mev_per_atom": 0.0, "cell": [[-0.719, 4.259, -2.318], [-4.343, 0.477, 2.223], [2.294, 2.531, 3.938]], "species": ["I", "Sb", "Sb", "Co", "Zr"], "frac_coords": [[0.000, 0.000, 0.500], [0.000, 0.500, 0.000], [0.500, 0.000, 0.000], [0.000, 0.000, 0.000], [0.500, 0.500, 0.500]]}

---

[3]
{"formula": "ScCoI2", "functional": "GGA-PBE", "state": "optimized geometry", "polymorph_energy_mev_per_atom": 146.8, "cell": [[-4.440, 1.406, 1.920], [-3.921, 0.818, -3.056], [-3.885, -3.207, -0.026]], "species": ["I", "I", "Sc", "Co"], "frac_coords": [[0.250, 0.250, 0.250], [0.750, 0.750, 0.750], [0.000, 0.000, 0.000], [0.500, 0.500, 0.500]]}

---

[4]
{"formula": "ScCo3I", "functional": "GGA-PBE", "state": "optimized geometry", "polymorph_energy_mev_per_atom": 0.0, "cell": [[-3.962, 2.051, 0.929], [-0.493, -2.624, 3.692], [2.197, 3.110, 2.503]], "species": ["I", "Sc", "Co", "Co", "Co"], "frac_coords": [[0.000, 0.000, 0.000], [0.500, 0.500, 0.500], [0.000, 0.500, 0.000], [0.000, 0.000, 0.500], [0.500, 0.000, 0.000]]}

---

[5]
{"formula": "ScCoI2", "functional": "GGA-PBE", "state": "optimized geometry", "polymorph_energy_mev_per_atom": 0.0, "cell": [[-0.330, 4.876, -3.784], [-4.246, -2.929, -3.405], [-6.611, 3.307, -0.211]], "species": ["I", "I", "I", "I", "Sc", "Sc", "Co", "Co"], "frac_coords": [[0.673, 0.125, 0.250], [0.077, 0.625, 0.250], [0.375, 0.327, 0.750], [0.875, 0.923, 0.750], [0.500, 0.500, 0.000], [0.250, 0.750, 0.500], [0.000, 0.000, 0.000], [0.750, 0.250, 0.500]]}

---

[6]
{"formula": "Sc4CoI5", "functional": "GGA-PBE", "state": "optimized geometry", "cell": [[3.830, 0.000, -0.834], [-0.432, 8.296, -1.985], [0.144, 0.209, 9.874]], "species": ["Sc", "Sc", "Sc", "Sc", "Co", "I", "I", "I", "I", "I"], "frac_coords": [[0.619, 0.059, 0.237], [0.000, 0.206, 0.000], [0.381, 0.941, 0.763], [0.000, 0.794, 0.000], [0.500, 0.000, 0.000], [0.160, 0.323, 0.319], [0.161, 0.835, 0.321], [0.839, 0.165, 0.679], [0.500, 0.500, 0.000], [0.840, 0.677, 0.681]]}

---

[7]
{"formula": "ScCo3I", "functional": "GGA-PBE", "state": "optimized geometry", "polymorph_energy_mev_per_atom": 374.9, "cell": [[-0.399, 2.385, -3.937], [-3.653, -2.569, -1.186], [-2.802, 3.010, 2.107]], "species": ["I", "Sc", "Co", "Co", "Co"], "frac_coords": [[0.500, 0.500, 0.500], [0.000, 0.000, 0.000], [0.000, 0.500, 0.000], [0.000, 0.000, 0.500], [0.500, 0.000, 0.000]]}

---

[8]
{"formula": "ScTaCo2I", "functional": "GGA-PBE", "state": "optimized geometry", "cell": [[-4.373, 0.871, 0.890], [-0.062, -4.066, 3.675], [1.244, 2.922, 3.254]], "species": ["I", "Sc", "Co", "Co", "Ta"], "frac_coords": [[0.500, 0.500, 0.500], [0.000, 0.500, 0.000], [0.000, 0.000, 0.500], [0.500, 0.000, 0.000], [0.000, 0.000, 0.000]]}

---

[9]
{"formula": "ScCoTe2I", "functional": "GGA-PBE", "state": "optimized geometry", "polymorph_energy_mev_per_atom": 0.0, "cell": [[5.076, 0.000, 0.000], [0.000, 5.076, 0.000], [0.000, 0.000, 5.126]], "species": ["I", "Sc", "Te", "Te", "Co"], "frac_coords": [[0.000, 0.000, 0.500], [0.500, 0.500, 0.500], [0.000, 0.500, 0.000], [0.500, 0.000, 0.000], [0.000, 0.000, 0.000]]}

---

[10]
{"formula": "ScCoTeI2", "functional": "GGA-PBE", "state": "optimized geometry", "polymorph_energy_mev_per_atom": 62.7, "cell": [[5.631, 0.000, 0.000], [0.000, 5.631, 0.000], [0.000, 0.000, 5.757]], "species": ["I", "I", "Sc", "Te", "Co"], "frac_coords": [[0.000, 0.500, 0.000], [0.500, 0.000, 0.000], [0.000, 0.000, 0.000], [0.000, 0.000, 0.500], [0.500, 0.500, 0.500]]}

---

[11]
{"formula": "ScCoTeI2", "functional": "GGA-PBE", "state": "optimized geometry", "polymorph_energy_mev_per_atom": 0.0, "cell": [[5.102, 0.000, 0.000], [0.000, 5.102, 0.000], [0.000, 0.000, 5.242]], "species": ["I", "I", "Sc", "Te", "Co"], "frac_coords": [[0.000, 0.500, 0.000], [0.500, 0.000, 0.000], [0.500, 0.500, 0.500], [0.000, 0.000, 0.500], [0.000, 0.000, 0.000]]}

---

[12]
{"formula": "ScCoTe2I", "functional": "GGA-PBE", "state": "optimized geometry", "polymorph_energy_mev_per_atom": 258.6, "cell": [[5.590, 0.000, 0.000], [0.000, 5.590, 0.000], [0.000, 0.000, 5.599]], "species": ["I", "Sc", "Te", "Te", "Co"], "frac_coords": [[0.000, 0.000, 0.500], [0.000, 0.000, 0.000], [0.000, 0.500, 0.000], [0.500, 0.000, 0.000], [0.500, 0.500, 0.500]]}

---

[13]
{"formula": "CoSe2I", "functional": "GGA-PBE", "state": "optimized geometry", "polymorph_energy_mev_per_atom": 1052.6, "cell": [[-2.547, -2.637, 3.281], [-4.108, 1.844, 1.982], [-4.379, -1.880, -1.221]], "species": ["I", "Co", "Se", "Se"], "frac_coords": [[0.500, 0.500, 0.500], [0.000, 0.000, 0.000], [0.250, 0.250, 0.250], [0.750, 0.750, 0.750]]}

---

[14]
{"formula": "Co3SeI", "functional": "GGA-PBE", "state": "optimized geometry", "polymorph_energy_mev_per_atom": 0.0, "cell": [[-1.843, -4.121, -0.904], [4.185, -1.662, -0.955], [0.529, -1.204, 4.412]], "species": ["I", "Co", "Co", "Co", "Se"], "frac_coords": [[0.500, 0.500, 0.500], [0.000, 0.500, 0.000], [0.000, 0.000, 0.500], [0.500, 0.000, 0.000], [0.000, 0.000, 0.000]]}

---

[15]
{"formula": "CoSe2I", "functional": "GGA-PBE", "state": "optimized geometry", "polymorph_energy_mev_per_atom": 51.2, "cell": [[3.738, -0.077, 0.000], [-1.926, 9.968, 0.000], [0.000, 0.000, 6.203]], "species": ["Co", "Co", "Se", "Se", "Se", "Se", "I", "I"], "frac_coords": [[0.763, 0.581, 0.750], [0.237, 0.419, 0.250], [0.287, 0.611, 0.503], [0.713, 0.389, 0.497], [0.287, 0.611, 0.997], [0.713, 0.389, 0.003], [0.146, 0.153, 0.250], [0.854, 0.847, 0.750]]}

---

[16]
{"formula": "Co3SeI", "functional": "GGA-PBE", "state": "optimized geometry", "polymorph_energy_mev_per_atom": 610.4, "cell": [[4.753, 0.000, 0.000], [0.000, 4.753, 0.000], [0.000, 0.000, 4.753]], "species": ["I", "Co", "Co", "Co", "Se"], "frac_coords": [[0.000, 0.000, 0.000], [0.000, 0.500, 0.000], [0.000, 0.000, 0.500], [0.500, 0.000, 0.000], [0.500, 0.500, 0.500]]}

---

[17]
{"formula": "CoSe2I", "functional": "GGA-PBE", "state": "optimized geometry", "polymorph_energy_mev_per_atom": 631.7, "cell": [[-4.282, 12.413, 2.528], [-3.239, 11.816, 5.357], [-1.327, 12.911, 3.214]], "species": ["I", "Co", "Se", "Se"], "frac_coords": [[0.500, 0.500, 0.500], [0.000, 0.000, 0.000], [0.944, 0.944, 0.944], [0.056, 0.056, 0.056]]}

---

[18]
{"formula": "CoSeI", "functional": "GGA-PBE", "state": "optimized geometry", "cell": [[3.665, 0.000, 0.000], [0.000, 4.684, 0.000], [0.000, 0.000, 9.261]], "species": ["Co", "Co", "Se", "Se", "I", "I"], "frac_coords": [[0.500, 0.000, 0.617], [0.000, 0.500, 0.383], [0.000, 0.000, 0.452], [0.500, 0.500, 0.548], [0.500, 0.500, 0.186], [0.000, 0.000, 0.814]]}

---

[19]
{"formula": "CoSeI", "functional": "GGA-PBE", "state": "optimized geometry", "cell": [[3.647, 0.000, 0.000], [-1.823, 3.158, 0.000], [0.000, 0.000, 6.642]], "species": ["I", "Co", "Se"], "frac_coords": [[0.000, 0.000, 0.120], [0.667, 0.333, 0.351], [0.333, 0.667, 0.529]]}

---

[20]
{"formula": "CoSe2I2", "functional": "GGA-PBE", "state": "optimized geometry", "polymorph_energy_mev_per_atom": 163.8, "cell": [[6.131, 0.000, 0.000], [0.000, 6.131, 0.000], [0.000, 0.000, 9.899]], "species": ["I", "I", "I", "I", "Co", "Co", "Se", "Se", "Se", "Se"], "frac_coords": [[0.311, 0.811, 0.500], [0.811, 0.689, 0.500], [0.689, 0.189, 0.500], [0.189, 0.311, 0.500], [0.000, 0.000, 0.000], [0.500, 0.500, 0.000], [0.355, 0.855, 0.000], [0.855, 0.645, 0.000], [0.645, 0.145, 0.000], [0.145, 0.355, 0.000]]}

---

Number 1: DOS(E_F) 9.7 states/eV/cell, total moment 2.95 μB/cell, E_form (uncorrected) 0.83 eV per atom. Number 2: DOS(E_F) 6.3 states/eV/cell, total moment 0.00 μB/cell, E_form (uncorrected) 0.48 eV per atom. Number 3: DOS(E_F) 10.4 states/eV/cell, total moment 1.02 μB/cell, E_form (uncorrected) 0.19 eV per atom. Number 4: DOS(E_F) 9.4 states/eV/cell, total moment 1.35 μB/cell, E_form (uncorrected) 1.00 eV per atom. Number 5: DOS(E_F) 13.1 states/eV/cell, total moment 0.00 μB/cell, E_form (uncorrected) 0.04 eV per atom. Number 6: DOS(E_F) 6.1 states/eV/cell, total moment 0.00 μB/cell, E_form (uncorrected) -0.92 eV per atom. Number 7: DOS(E_F) 8.9 states/eV/cell, total moment 3.06 μB/cell, E_form (uncorrected) 1.37 eV per atom. Number 8: DOS(E_F) 9.7 states/eV/cell, total moment 1.24 μB/cell, E_form (uncorrected) 1.11 eV per atom. Number 9: DOS(E_F) 4.1 states/eV/cell, total moment 0.15 μB/cell, E_form (uncorrected) 0.09 eV per atom. Number 10: DOS(E_F) 10.1 states/eV/cell, total moment 2.46 μB/cell, E_form (uncorrected) 0.19 eV per atom. Number 11: DOS(E_F) 3.8 states/eV/cell, total moment 0.68 μB/cell, E_form (uncorrected) 0.13 eV per atom. Number 12: DOS(E_F) 7.4 states/eV/cell, total moment 2.64 μB/cell, E_form (uncorrected) 0.35 eV per atom. Number 13: DOS(E_F) 6.4 states/eV/cell, total moment 1.96 μB/cell, E_form (uncorrected) 0.92 eV per atom. Number 14: DOS(E_F) 6.1 states/eV/cell, total moment 6.00 μB/cell, E_form (uncorrected) 0.75 eV per atom. Number 15: DOS(E_F) 1.9 states/eV/cell, total moment 0.00 μB/cell, E_form (uncorrected) -0.08 eV per atom. Number 16: DOS(E_F) 12.6 states/eV/cell, total moment 5.94 μB/cell, E_form (uncorrected) 1.36 eV per atom. Number 17: DOS(E_F) 4.2 states/eV/cell, total moment 0.00 μB/cell, E_form (uncorrected) 0.50 eV per atom. Number 18: DOS(E_F) 2.5 states/eV/cell, total moment 0.00 μB/cell, E_form (uncorrected) -0.20 eV per atom. Number 19: DOS(E_F) 0.6 states/eV/cell, total moment 0.00 μB/cell, E_form (uncorrected) -0.11 eV per atom. Number 20: DOS(E_F) 9.6 states/eV/cell, total moment 3.45 μB/cell, E_form (uncorrected) 0.18 eV per atom.